Entry 1:
Tm2In: optimized geometry, PBE-GGA.

raw total energy = -4.1957 eV per atom
SG = P-62m (189)
V = 247.0 Å³/cell
total magnetization = 0.65 μB per formula unit

Cell: 8.8026 8.8026 3.6809 Å, 90.00 90.00 120.00°
With the nearest neighbours (Å) after each atom.
Fractional positions:
Tm1 0.0000 0.3772 0.0000  5 In 3.32, 8 Tm 3.47-3.68
Tm2 0.0000 0.7108 0.5000  4 In 3.14-3.15, 2 Tm 3.47
Tm3 0.2892 0.2892 0.5000  4 In 3.14-3.15, 2 Tm 3.47
Tm4 0.3772 0.0000 0.0000  5 In 3.32, 8 Tm 3.47-3.68
Tm5 0.6228 0.6228 0.0000  5 In 3.32, 8 Tm 3.47-3.68
Tm6 0.7108 0.0000 0.5000  4 In 3.14-3.15, 2 Tm 3.47
In1 0.0000 0.0000 0.0000  9 Tm 3.14-3.32
In2 0.3333 0.6667 0.5000  9 Tm 3.15-3.32
In3 0.6667 0.3333 0.5000  9 Tm 3.15-3.32

***

Entry 2:
TmIn3: optimized geometry, PBE-GGA.

raw total energy = -3.5273 eV per atom
SG = Pm-3m (221)
V = 97.5 Å³/cell
total magnetization = 0.00 μB per formula unit

Cell: 4.6026 4.6026 4.6026 Å, 90.00 90.00 90.00°
With the nearest neighbours (Å) after each atom.
Fractional positions:
Tm1 0.0000 0.0000 0.0000  12 In 3.25
In1 0.0000 0.5000 0.5000  8 In 3.25, 4 Tm 3.25
In2 0.5000 0.0000 0.5000  8 In 3.25, 4 Tm 3.25
In3 0.5000 0.5000 0.0000  8 In 3.25, 4 Tm 3.25

***

Entry 3:
TmIn: optimized geometry, PBE-GGA.

raw total energy = -4.0251 eV per atom
SG = Pm-3m (221)
V = 51.3 Å³/cell
total magnetization = 0.00 μB per formula unit

Cell: 3.7146 3.7146 3.7146 Å, 90.00 90.00 90.00°
With the nearest neighbours (Å) after each atom.
Fractional positions:
Tm1 0.0000 0.0000 0.0000  8 In 3.22
In1 0.5000 0.5000 0.5000  8 Tm 3.22

***

Entry 4:
TmIn: optimized geometry, PBE-GGA.

raw total energy = -2.8733 eV per atom
SG = F-43m (216)
V = 81.4 Å³/cell
total magnetization = 0.01 μB per formula unit

Cell: 4.8654 4.8654 4.8654 Å, 60.00 60.00 60.00°
With the nearest neighbours (Å) after each atom.
Fractional positions:
Tm1 0.0000 0.0000 0.0000  4 In 2.98
In1 0.2500 0.2500 0.2500  4 Tm 2.98

***

Entry 5:
TmIn: optimized geometry, PBE-GGA.

raw total energy = -3.6261 eV per atom
SG = Fm-3m (225)
V = 58.2 Å³/cell
total magnetization = 0.33 μB per formula unit

Cell: 4.3488 4.3488 4.3488 Å, 60.00 60.00 60.00°
With the nearest neighbours (Å) after each atom.
Fractional positions:
Tm1 0.0000 0.0000 0.0000  6 In 3.08
In1 0.5000 0.5000 0.5000  6 Tm 3.08

***

Entry 6:
Tm2In: optimized geometry, PBE-GGA.

raw total energy = -3.7464 eV per atom
SG = Fd-3m (227)
V = 169.9 Å³/cell
total magnetization = 0.01 μB per formula unit

Cell: 6.2171 6.2171 6.2171 Å, 60.00 60.00 60.00°
With the nearest neighbours (Å) after each atom.
Fractional positions:
Tm1 0.0000 0.0000 0.0000  6 Tm 3.11
Tm2 0.0000 0.0000 0.5000  6 Tm 3.11
Tm3 0.0000 0.5000 0.0000  6 Tm 3.11
Tm4 0.5000 0.0000 0.0000  6 Tm 3.11
In1 0.3750 0.3750 0.3750  12 Tm 3.65, 4 In 3.81
In2 0.6250 0.6250 0.6250  12 Tm 3.65, 4 In 3.81

***

Entry 7:
TmIn: optimized geometry, PBE-GGA.

raw total energy = -3.8507 eV per atom
SG = P-6m2 (187)
V = 54.1 Å³/cell
total magnetization = 0.35 μB per formula unit

Cell: 3.4943 3.4943 5.1146 Å, 90.00 90.00 120.00°
With the nearest neighbours (Å) after each atom.
Fractional positions:
Tm1 0.0000 0.0000 0.0000  6 In 3.26, 6 Tm 3.49
In1 0.3333 0.6667 0.5000  6 Tm 3.26, 6 In 3.49

***

Entry 8:
Tm2In: optimized geometry, PBE-GGA.

raw total energy = -4.1909 eV per atom
SG = Cmcm (63)
V = 162.1 Å³/cell
total magnetization = 0.01 μB per formula unit

Cell: 7.9474 7.9474 4.8337 Å, 90.00 90.00 147.94°
With the nearest neighbours (Å) after each atom.
Fractional positions:
Tm1 0.0774 0.9226 0.7500  6 In 3.27-3.37, 6 Tm 3.38-3.61
Tm2 0.2348 0.7652 0.2500  2 In 3.12, 6 Tm 3.30-3.41
Tm3 0.7652 0.2348 0.7500  2 In 3.12, 6 Tm 3.30-3.41
Tm4 0.9226 0.0774 0.2500  6 In 3.27-3.37, 6 Tm 3.38-3.61
In1 0.4103 0.5897 0.7500  8 Tm 3.12-3.37
In2 0.5897 0.4103 0.2500  8 Tm 3.12-3.37

***

Entry 9:
TmUIn: optimized geometry, PBE-GGA.

raw total energy = -5.5149 eV per atom
SG = F-43m (216)
V = 95.7 Å³/cell
total magnetization = 4.05 μB per formula unit

Cell: 5.1351 5.1351 5.1351 Å, 60.00 60.00 60.00°
With the nearest neighbours (Å) after each atom.
Fractional positions:
Tm1 0.0000 0.0000 0.0000  4 In 3.14
U1 0.5000 0.5000 0.5000  4 In 3.14
In1 0.2500 0.2500 0.2500  4 U 3.14, 4 Tm 3.14

***

Entry 10:
Y2TmIn: optimized geometry, PBE-GGA.

raw total energy = -5.3030 eV per atom
SG = P4/mmm (123)
V = 112.5 Å³/cell
total magnetization = 0.56 μB per formula unit

Cell: 4.8307 4.8307 4.8199 Å, 90.00 90.00 90.00°
With the nearest neighbours (Å) after each atom.
Fractional positions:
Y1 0.0000 0.5000 0.0000  4 In 3.41, 4 Tm 3.41, 4 Y 3.42
Y2 0.5000 0.0000 0.0000  4 In 3.41, 4 Tm 3.41, 4 Y 3.42
Tm1 0.0000 0.0000 0.5000  8 Y 3.41, 4 In 3.42
In1 0.5000 0.5000 0.5000  8 Y 3.41, 4 Tm 3.42

***

Entry 11:
YTmIn5: optimized geometry, PBE-GGA.

raw total energy = -3.8194 eV per atom
SG = P4/mmm (123)
V = 184.9 Å³/cell
total magnetization = 0.01 μB per formula unit

Cell: 4.6795 4.6795 8.4444 Å, 90.00 90.00 90.00°
With the nearest neighbours (Å) after each atom.
Fractional positions:
Y1 0.0000 0.0000 0.0000  12 In 3.25-3.31
Tm1 0.0000 0.0000 0.5000  8 In 3.06
In1 0.0000 0.5000 0.2671  2 Tm 3.06, 6 In 3.25-3.31, 2 Y 3.25
In2 0.0000 0.5000 0.7329  2 Tm 3.06, 6 In 3.25-3.31, 2 Y 3.25
In3 0.5000 0.0000 0.2671  2 Tm 3.06, 6 In 3.25-3.31, 2 Y 3.25
In4 0.5000 0.0000 0.7329  2 Tm 3.06, 6 In 3.25-3.31, 2 Y 3.25
In5 0.5000 0.5000 0.0000  8 In 3.25, 4 Y 3.31

***

Entry 12:
YTm2In3: optimized geometry, PBE-GGA.

raw total energy = -4.3868 eV per atom
SG = P4/mmm (123)
V = 155.1 Å³/cell
total magnetization = 0.01 μB per formula unit

Cell: 3.5121 3.5121 12.5718 Å, 90.00 90.00 90.00°
With the nearest neighbours (Å) after each atom.
Fractional positions:
Y1 0.0000 0.0000 0.0000  8 In 3.27, 4 Y 3.51
Tm1 0.0000 0.0000 0.3349  8 In 3.24, 4 Tm 3.51
Tm2 0.0000 0.0000 0.6651  8 In 3.24, 4 Tm 3.51
In1 0.5000 0.5000 0.1697  4 Tm 3.24, 4 Y 3.27, 4 In 3.51
In2 0.5000 0.5000 0.5000  8 Tm 3.24, 4 In 3.51
In3 0.5000 0.5000 0.8303  4 Tm 3.24, 4 Y 3.27, 4 In 3.51

***

Entry 13:
YTmIn4: optimized geometry, PBE-GGA.

raw total energy = -4.0774 eV per atom
SG = Amm2 (38)
V = 152.1 Å³/cell
total magnetization = 0.01 μB per formula unit

Cell: 4.6393 7.4745 7.4745 Å, 35.92 90.00 90.00°
With the nearest neighbours (Å) after each atom.
Fractional positions:
Y1 0.0000 0.0000 0.0000  10 In 3.20-3.35, 2 Tm 3.55
Tm1 0.0000 0.3098 0.3098  10 In 3.18-3.33, 2 Y 3.55
In1 0.0000 0.6562 0.6562  2 Tm 3.18, 2 Y 3.20, 8 In 3.27-3.44
In2 0.5000 0.1564 0.1564  2 Tm 3.18, 2 Y 3.21, 8 In 3.27-3.43
In3 0.5000 0.4780 0.4780  6 In 3.12-3.44, 4 Y 3.28, 2 Tm 3.33
In4 0.5000 0.8301 0.8301  6 In 3.12-3.39, 4 Tm 3.28, 2 Y 3.35

***

Entry 14:
YTmZn2In2: optimized geometry, PBE-GGA.

raw total energy = -3.5823 eV per atom
SG = P-3m1 (164)
V = 134.6 Å³/cell
total magnetization = 0.18 μB per formula unit

Cell: 4.6715 4.6715 7.1195 Å, 90.00 90.00 120.00°
With the nearest neighbours (Å) after each atom.
Fractional positions:
Y1 0.0000 0.0000 0.0000  6 In 3.25, 6 Zn 3.27, 2 Tm 3.56
Tm1 0.0000 0.0000 0.5000  6 Zn 3.20, 6 In 3.21, 2 Y 3.56
Zn1 0.3333 0.6667 0.2589  3 In 2.70
Zn2 0.6667 0.3333 0.7411  3 In 2.70
In1 0.3333 0.6667 0.7441  3 Zn 2.70
In2 0.6667 0.3333 0.2559  3 Zn 2.70

***

Entry 15:
TmZnIn: optimized geometry, PBE-GGA.

raw total energy = -3.1808 eV per atom
SG = F-43m (216)
V = 70.5 Å³/cell
total magnetization = 0.00 μB per formula unit

Cell: 4.6372 4.6372 4.6372 Å, 60.00 60.00 60.00°
With the nearest neighbours (Å) after each atom.
Fractional positions:
Tm1 0.0000 0.0000 0.0000  4 Zn 2.84
Zn1 0.7500 0.7500 0.7500  4 In 2.84, 4 Tm 2.84
In1 0.5000 0.5000 0.5000  4 Zn 2.84

***

Entry 16:
Tm5Zn4In: optimized geometry, PBE-GGA.

raw total energy = -3.3924 eV per atom
SG = P4/mmm (123)
V = 224.3 Å³/cell
total magnetization = 0.03 μB per formula unit

Cell: 3.5278 3.5278 18.0248 Å, 90.00 90.00 90.00°
With the nearest neighbours (Å) after each atom.
Fractional positions:
Tm1 0.0000 0.0000 0.0000  8 Zn 3.06
Tm2 0.0000 0.0000 0.1935  8 Zn 3.03
Tm3 0.0000 0.0000 0.3859  4 Zn 3.05, 4 In 3.23
Tm4 0.0000 0.0000 0.6141  4 Zn 3.05, 4 In 3.23
Tm5 0.0000 0.0000 0.8065  8 Zn 3.03
Zn1 0.5000 0.5000 0.0979  8 Tm 3.03-3.06
Zn2 0.5000 0.5000 0.2888  8 Tm 3.03-3.05
Zn3 0.5000 0.5000 0.7112  8 Tm 3.03-3.05
Zn4 0.5000 0.5000 0.9021  8 Tm 3.03-3.06
In1 0.5000 0.5000 0.5000  8 Tm 3.23, 4 In 3.53

***

Entry 17:
Tm5ZnIn4: optimized geometry, PBE-GGA.

raw total energy = -3.8761 eV per atom
SG = P4/mmm (123)
V = 248.1 Å³/cell
total magnetization = 0.02 μB per formula unit

Cell: 3.5500 3.5500 19.6897 Å, 90.00 90.00 90.00°
With the nearest neighbours (Å) after each atom.
Fractional positions:
Tm1 0.0000 0.0000 0.0000  8 In 3.24, 4 Tm 3.55
Tm2 0.0000 0.0000 0.2080  8 In 3.23-3.24, 4 Tm 3.55
Tm3 0.0000 0.0000 0.4136  4 Zn 3.03, 4 In 3.22
Tm4 0.0000 0.0000 0.5864  4 Zn 3.03, 4 In 3.22
Tm5 0.0000 0.0000 0.7920  8 In 3.23-3.24, 4 Tm 3.55
Zn1 0.5000 0.5000 0.5000  8 Tm 3.03
In1 0.5000 0.5000 0.1043  8 Tm 3.24, 4 In 3.55
In2 0.5000 0.5000 0.3115  8 Tm 3.22-3.23, 4 In 3.55
In3 0.5000 0.5000 0.6885  8 Tm 3.22-3.23, 4 In 3.55
In4 0.5000 0.5000 0.8957  8 Tm 3.24, 4 In 3.55

***

Entry 18:
Tm2ZnIn: optimized geometry, PBE-GGA.

raw total energy = -3.6402 eV per atom
SG = P4/mmm (123)
V = 94.4 Å³/cell
total magnetization = 0.01 μB per formula unit

Cell: 3.5841 3.5841 7.3474 Å, 90.00 90.00 90.00°
With the nearest neighbours (Å) after each atom.
Fractional positions:
Tm1 0.0000 0.0000 0.2302  4 Zn 3.05, 4 In 3.22, 1 Tm 3.38
Tm2 0.0000 0.0000 0.7698  4 Zn 3.05, 4 In 3.22, 1 Tm 3.38
Zn1 0.5000 0.5000 0.0000  8 Tm 3.05
In1 0.5000 0.5000 0.5000  8 Tm 3.22, 4 In 3.58

***

Entry 19:
TmZnIn: optimized geometry, PBE-GGA.

raw total energy = -2.6830 eV per atom
SG = F-43m (216)
V = 81.7 Å³/cell
total magnetization = 0.00 μB per formula unit

Cell: 4.8697 4.8697 4.8697 Å, 60.00 60.00 60.00°
With the nearest neighbours (Å) after each atom.
Fractional positions:
Tm1 0.0000 0.0000 0.0000  4 In 2.98, 4 Zn 2.98
Zn1 0.2500 0.2500 0.2500  4 Tm 2.98
In1 0.7500 0.7500 0.7500  4 Tm 2.98

***

Entry 20:
TmZrIn: optimized geometry, PBE-GGA.

raw total energy = -5.0958 eV per atom
SG = F-43m (216)
V = 85.6 Å³/cell
total magnetization = 0.78 μB per formula unit

Cell: 4.9462 4.9462 4.9462 Å, 60.00 60.00 60.00°
With the nearest neighbours (Å) after each atom.
Fractional positions:
Tm1 0.0000 0.0000 0.0000  4 In 3.03
Zr1 0.5000 0.5000 0.5000  4 In 3.03
In1 0.2500 0.2500 0.2500  4 Zr 3.03, 4 Tm 3.03

***

Entry 21:
TmZr2In: optimized geometry, PBE-GGA.

raw total energy = -6.2767 eV per atom
SG = P4/mmm (123)
V = 94.2 Å³/cell
total magnetization = 0.00 μB per formula unit

Cell: 4.5503 4.5503 4.5506 Å, 90.00 90.00 90.00°
With the nearest neighbours (Å) after each atom.
Fractional positions:
Tm1 0.0000 0.0000 0.0000  4 In 3.22, 8 Zr 3.22
Zr1 0.0000 0.5000 0.5000  4 Zr 3.22, 4 In 3.22, 4 Tm 3.22
Zr2 0.5000 0.0000 0.5000  4 Zr 3.22, 4 In 3.22, 4 Tm 3.22
In1 0.5000 0.5000 0.0000  4 Tm 3.22, 8 Zr 3.22

***

Entry 22:
UInW: optimized geometry, PBE-GGA.

raw total energy = -8.1191 eV per atom
SG = F-43m (216)
V = 72.0 Å³/cell
total magnetization = 1.11 μB per formula unit

Cell: 4.6686 4.6686 4.6686 Å, 60.00 60.00 60.00°
With the nearest neighbours (Å) after each atom.
Fractional positions:
U1 0.0000 0.0000 0.0000  4 W 2.86
In1 0.5000 0.5000 0.5000  4 W 2.86
W1 0.2500 0.2500 0.2500  4 In 2.86, 4 U 2.86

***

Entry 23:
UInW: optimized geometry, PBE-GGA.

raw total energy = -7.4687 eV per atom
SG = F-43m (216)
V = 75.0 Å³/cell
total magnetization = 0.82 μB per formula unit

Cell: 4.7333 4.7333 4.7333 Å, 60.00 60.00 60.00°
With the nearest neighbours (Å) after each atom.
Fractional positions:
U1 0.0000 0.0000 0.0000  4 In 2.90, 4 W 2.90
In1 0.2500 0.2500 0.2500  4 U 2.90
W1 0.7500 0.7500 0.7500  4 U 2.90

***

Entry 24:
ZrUIn: optimized geometry, PBE-GGA.

raw total energy = -6.7411 eV per atom
SG = F-43m (216)
V = 88.4 Å³/cell
total magnetization = 4.31 μB per formula unit

Cell: 4.9997 4.9997 4.9997 Å, 60.00 60.00 60.00°
With the nearest neighbours (Å) after each atom.
Fractional positions:
Zr1 0.0000 0.0000 0.0000  4 In 3.06
U1 0.5000 0.5000 0.5000  4 In 3.06
In1 0.7500 0.7500 0.7500  4 Zr 3.06, 4 U 3.06

***

Entry 25:
ZrUIn: optimized geometry, PBE-GGA.

raw total energy = -6.4489 eV per atom
SG = F-43m (216)
V = 88.9 Å³/cell
total magnetization = 4.94 μB per formula unit

Cell: 5.0100 5.0100 5.0100 Å, 60.00 60.00 60.00°
With the nearest neighbours (Å) after each atom.
Fractional positions:
Zr1 0.0000 0.0000 0.0000  4 U 3.07
U1 0.2500 0.2500 0.2500  4 Zr 3.07, 4 In 3.07
In1 0.5000 0.5000 0.5000  4 U 3.07

***

Entry 26:
InW2: optimized geometry, PBE-GGA.

raw total energy = -8.9278 eV per atom
SG = Fd-3m (227)
V = 112.1 Å³/cell
total magnetization = 0.00 μB per formula unit

Cell: 5.4114 5.4114 5.4114 Å, 60.00 60.00 60.00°
With the nearest neighbours (Å) after each atom.
Fractional positions:
In1 0.1250 0.1250 0.1250  12 W 3.17, 4 In 3.31
In2 0.8750 0.8750 0.8750  12 W 3.17, 4 In 3.31
W1 0.0000 0.5000 0.5000  6 W 2.71
W2 0.5000 0.0000 0.5000  6 W 2.71
W3 0.5000 0.5000 0.0000  6 W 2.71
W4 0.5000 0.5000 0.5000  6 W 2.71

***

Entry 27:
InW2: optimized geometry, PBE-GGA.

raw total energy = -4.9515 eV per atom
SG = Fd-3m (227)
V = 527.0 Å³/cell
total magnetization = 9.35 μB per formula unit

Cell: 9.0663 9.0663 9.0663 Å, 60.00 60.00 60.00°
With the nearest neighbours (Å) after each atom.
Fractional positions:
In1 0.1250 0.1250 0.1250  4 W 2.78
In2 0.8750 0.8750 0.8750  4 W 2.78
W1 0.0000 0.0000 0.0000  2 In 2.78
W2 0.0000 0.0000 0.5000  2 In 2.78
W3 0.0000 0.5000 0.0000  2 In 2.78
W4 0.5000 0.0000 0.0000  2 In 2.78

***

Entry 28:
Zn2InW: optimized geometry, PBE-GGA.

raw total energy = -3.8390 eV per atom
SG = F-43m (216)
V = 68.7 Å³/cell
total magnetization = 1.29 μB per formula unit

Cell: 4.5981 4.5981 4.5981 Å, 60.00 60.00 60.00°
With the nearest neighbours (Å) after each atom.
Fractional positions:
Zn1 0.0000 0.0000 0.0000  4 W 2.82, 4 Zn 2.82
Zn2 0.2500 0.2500 0.2500  4 In 2.82, 4 Zn 2.82
In1 0.5000 0.5000 0.5000  4 W 2.82, 4 Zn 2.82
W1 0.7500 0.7500 0.7500  4 In 2.82, 4 Zn 2.82

***

Entry 29:
Y2ZnIn: optimized geometry, PBE-GGA.

raw total energy = -4.1838 eV per atom
SG = P6_3/mmc (194)
V = 230.5 Å³/cell
total magnetization = 0.89 μB per formula unit

Cell: 5.1404 5.1404 10.0714 Å, 90.00 90.00 120.00°
With the nearest neighbours (Å) after each atom.
Fractional positions:
Y1 0.3333 0.6667 0.0890  3 In 3.10, 4 Y 3.24-3.47, 4 Zn 3.38-3.41
Y2 0.3333 0.6667 0.4110  3 In 3.10, 4 Y 3.24-3.47, 4 Zn 3.38-3.41
Y3 0.6667 0.3333 0.5890  3 In 3.10, 4 Y 3.24-3.47, 4 Zn 3.38-3.41
Y4 0.6667 0.3333 0.9110  3 In 3.10, 4 Y 3.24-3.47, 4 Zn 3.38-3.41
Zn1 0.3333 0.6667 0.7500  8 Y 3.38-3.41
Zn2 0.6667 0.3333 0.2500  8 Y 3.38-3.41
In1 0.0000 0.0000 0.0000  6 Y 3.10
In2 0.0000 0.0000 0.5000  6 Y 3.10